# 1
Compound: SrAl5Pd3
Source: Alexandria via LeMat-Bulk
Functional: GGA-PBE
Structure: optimized geometry

Mass density = 5.2 g/cm³
Formation energy from the elements = -0.686 eV per atom
Uncorrected energy = -168.577 eV per cell

Structure (CIF):
```
data_SrAl5Pd3
_symmetry_space_group_name_H-M 'C m c m'
_symmetry_Int_Tables_number 63
_symmetry_space_group_name_Hall '-C 2c 2'
_cell_length_a 4.146
_cell_length_b 12.980
_cell_length_c 12.835
_cell_angle_alpha 90.00
_cell_angle_beta 90.00
_cell_angle_gamma 90.00
loop_
_atom_site_label
_atom_site_fract_x
_atom_site_fract_y
_atom_site_fract_z
Sr1 0.000 0.159 0.250
Al1 0.000 0.000 0.000
Al2 0.000 0.201 0.560
Al3 0.000 0.437 0.149
Pd1 0.000 0.128 0.750
Pd2 0.000 0.392 0.542
```


# 2
Compound: PmSmSnRu
Source: Alexandria via LeMat-Bulk
Functional: GGA-PBE
Structure: optimized geometry

Mass density = 8.6 g/cm³
Formation energy from the elements = -0.319 eV per atom
Uncorrected energy = -96.099 eV per cell

Structure (CIF):
```
data_PmSmSnRu
_symmetry_space_group_name_H-M 'F -4 3 m'
_symmetry_Int_Tables_number 216
_symmetry_space_group_name_Hall 'F -4 2 3'
_cell_length_a 7.344
_cell_length_b 7.344
_cell_length_c 7.344
_cell_angle_alpha 90.00
_cell_angle_beta 90.00
_cell_angle_gamma 90.00
loop_
_atom_site_label
_atom_site_fract_x
_atom_site_fract_y
_atom_site_fract_z
Pm1 0.000 0.000 0.000
Sm1 0.000 0.000 0.500
Sn1 0.250 0.250 0.250
Ru1 0.250 0.250 0.750
```


# 3
Compound: ThSiTe
Source: Alexandria via LeMat-Bulk
Functional: GGA-PBE
Structure: optimized geometry

Mass density = 8.0 g/cm³
Uncorrected energy = -74.631 eV per cell

Structure (CIF):
```
data_ThSiTe
_symmetry_space_group_name_H-M 'I 4/m m m'
_symmetry_Int_Tables_number 139
_symmetry_space_group_name_Hall '-I 4 2'
_cell_length_a 4.158
_cell_length_b 4.158
_cell_length_c 18.541
_cell_angle_alpha 90.00
_cell_angle_beta 90.00
_cell_angle_gamma 90.00
loop_
_atom_site_label
_atom_site_fract_x
_atom_site_fract_y
_atom_site_fract_z
Th1 0.000 0.000 0.120
Si1 0.000 0.500 0.000
Te1 0.000 0.000 0.311
```


# 4
Compound: TbZrGa2Cu2
Source: Alexandria via LeMat-Bulk
Functional: GGA-PBE
Structure: optimized geometry

Mass density = 7.8 g/cm³
Formation energy from the elements = -0.478 eV per atom
Uncorrected energy = -30.295 eV per cell

Structure (CIF):
```
data_TbZrGa2Cu2
_symmetry_space_group_name_H-M 'P -3 m 1'
_symmetry_Int_Tables_number 164
_symmetry_space_group_name_Hall '-P 3 2"'
_cell_length_a 4.2979
_cell_length_b 4.2979
_cell_length_c 6.8828
_cell_angle_alpha 90.00
_cell_angle_beta 90.00
_cell_angle_gamma 120.00
loop_
_atom_site_label
_atom_site_fract_x
_atom_site_fract_y
_atom_site_fract_z
Tb1 0.0000 0.0000 0.0000
Zr1 0.0000 0.0000 0.5000
Ga1 0.3333 0.6667 0.2815
Cu1 0.3333 0.6667 0.7079
```


# 5
Compound: CuBr
Source: Alexandria via LeMat-Bulk
Functional: GGA-PBE
Structure: optimized geometry

Mass density = 5.0 g/cm³
Uncorrected energy = -25.001 eV per cell

Structure (CIF):
```
data_CuBr
_symmetry_space_group_name_H-M 'C 1 2/m 1'
_symmetry_Int_Tables_number 12
_symmetry_space_group_name_Hall '-C 2y'
_cell_length_a 6.840
_cell_length_b 3.953
_cell_length_c 7.399
_cell_angle_alpha 90.00
_cell_angle_beta 107.78
_cell_angle_gamma 90.00
loop_
_atom_site_label
_atom_site_fract_x
_atom_site_fract_y
_atom_site_fract_z
Cu1 0.135 0.000 0.404
Br1 0.249 0.500 0.244
```


# 6
Compound: GeRh3Se
Source: Alexandria via LeMat-Bulk
Functional: GGA-PBE
Structure: optimized geometry

ΔE to the lowest computed polymorph = 0 meV/atom
Mass density = 7.9 g/cm³
Uncorrected energy = -27.479 eV per cell

Structure (CIF):
```
data_GeRh3Se
_symmetry_space_group_name_H-M 'P m -3 m'
_symmetry_Int_Tables_number 221
_symmetry_space_group_name_Hall '-P 4 2 3'
_cell_length_a 4.589
_cell_length_b 4.589
_cell_length_c 4.589
_cell_angle_alpha 90.00
_cell_angle_beta 90.00
_cell_angle_gamma 90.00
loop_
_atom_site_label
_atom_site_fract_x
_atom_site_fract_y
_atom_site_fract_z
Ge1 0.000 0.000 0.000
Rh1 0.000 0.500 0.500
Se1 0.500 0.500 0.500
```


# 7
Compound: YThSc4
Source: Alexandria via LeMat-Bulk
Functional: GGA-PBE
Structure: optimized geometry

ΔE to the lowest computed polymorph = 0 meV/atom
Mass density = 5.2 g/cm³
Formation energy from the elements = 0.032 eV per atom
Uncorrected energy = -156.070 eV per cell

Structure (CIF):
```
data_YThSc4
_symmetry_space_group_name_H-M 'C m c m'
_symmetry_Int_Tables_number 63
_symmetry_space_group_name_Hall '-C 2c 2'
_cell_length_a 6.589
_cell_length_b 18.435
_cell_length_c 5.312
_cell_angle_alpha 90.00
_cell_angle_beta 90.00
_cell_angle_gamma 90.00
loop_
_atom_site_label
_atom_site_fract_x
_atom_site_fract_y
_atom_site_fract_z
Y1 0.000 0.126 0.250
Th1 0.000 0.374 0.750
Sc1 0.250 0.042 0.750
Sc2 0.250 0.209 0.750
```


# 8
Compound: Re8Au
Source: Alexandria via LeMat-Bulk
Functional: GGA-PBE
Structure: optimized geometry

Mass density = 20.4 g/cm³
Formation energy from the elements = 0.175 eV per atom
Uncorrected energy = -202.575 eV per cell

Structure (CIF):
```
data_Re8Au
_symmetry_space_group_name_H-M 'I 4/m m m'
_symmetry_Int_Tables_number 139
_symmetry_space_group_name_Hall '-I 4 2'
_cell_length_a 8.339
_cell_length_b 8.339
_cell_length_c 3.951
_cell_angle_alpha 90.00
_cell_angle_beta 90.00
_cell_angle_gamma 90.00
loop_
_atom_site_label
_atom_site_fract_x
_atom_site_fract_y
_atom_site_fract_z
Re1 0.000 0.339 0.000
Re2 0.174 0.174 0.500
Au1 0.000 0.000 0.000
```


The lowest uncorrected energy belongs to which entry? Re8Au


Among the records above, which one has the lowest mass density? CuBr


Among the records above, which one has the lowest uncorrected energy? Re8Au


What is the formula in the seventh record? YThSc4